No. 1
## InGaHg2 (PBE-GGA)

Data for a relaxed InGaHg2 crystal.

Cell: 3.9819 3.9819 22.8983 Å, 90.00 90.00 120.00°
Space group R3m (No. 160, hexagonal axes)
Asymmetric unit:
In: 0.0000 0.0000 0.0000 (multiplicity 3)
Ga: 0.0000 0.0000 0.8319 (multiplicity 3)
Hg: 0.0000 0.0000 0.2416 (multiplicity 3)
Hg: 0.0000 0.0000 0.4234 (multiplicity 3)

ρ = 9.28 g/cm³
Energy relative to the elements = 0.06 eV per atom

---

No. 2
## Pm2NdHoEr (PBE-GGA)

Data for a relaxed Pm2NdHoEr crystal.

Cell: 8.436 11.609 7.260 Å, 90.00 90.00 90.00°
Space group Cmcm (No. 63)
Asymmetric unit:
Pm: 0.192 0.000 0.000 (multiplicity 8)
Nd: 0.000 0.225 0.250 (multiplicity 4)
Ho: 0.000 0.492 0.250 (multiplicity 4)
Er: 0.000 0.231 0.750 (multiplicity 4)

ρ = 7.16 g/cm³
Energy relative to the elements = 0.39 eV per atom

---

No. 3
## Nd4TlTe2As (PBE-GGA)

Data for a relaxed Nd4TlTe2As crystal.

Cell: 7.767 4.377 7.781 Å, 90.00 108.66 90.00°
Space group P2/m (No. 10)
Asymmetric unit:
Nd: 0.234 0.000 0.228 (multiplicity 2)
Nd: 0.244 0.500 0.759 (multiplicity 2)
Tl: 0.500 0.000 0.000 (multiplicity 1)
Te: 0.000 0.000 0.500 (multiplicity 1)
Te: 0.500 0.500 0.500 (multiplicity 1)
As: 0.000 0.500 0.000 (multiplicity 1)

ρ = 7.36 g/cm³
Formation energy without anion corrections = -9.6 eV/f.u.

---

No. 4
## BeAsOs2 (PBE-GGA)

Data for a relaxed BeAsOs2 crystal.

Cell: 2.960 3.926 4.748 Å, 90.00 90.00 90.00°
Space group Pmmm (No. 47)
Asymmetric unit:
Be: 0.000 0.000 0.000 (multiplicity 1)
As: 0.500 0.000 0.500 (multiplicity 1)
Os: 0.000 0.500 0.500 (multiplicity 1)
Os: 0.500 0.500 0.000 (multiplicity 1)

ρ = 13.97 g/cm³
Energy relative to the elements = 0.49 eV per atom
Energy above the lowest structure with this stoichiometry = 363 meV per atom

---

No. 5
## Na2ScTeS4 (PBE-GGA)

Data for a relaxed Na2ScTeS4 crystal.

Cell: 10.977 10.930 7.700 Å, 90.00 128.85 90.00°
Space group C2/c (No. 15)
Asymmetric unit:
Na: 0.000 0.000 0.000 (multiplicity 4)
Na: 0.250 0.250 0.000 (multiplicity 4)
Sc: 0.000 0.500 0.000 (multiplicity 4)
Te: 0.250 0.250 0.500 (multiplicity 4)
S: 0.024 0.262 0.523 (multiplicity 8)
S: 0.212 0.492 0.441 (multiplicity 8)

ρ = 3.20 g/cm³
Formation energy without anion corrections = -8.2 eV/f.u.